Computed, not measured: CrMo5 at its PBEsol-relaxed geometry at the SCAN level of DFT.

It has space group Cmmm (No. 65), with a = 3.090 Å, b = 13.068 Å, c = 4.357 Å, α = 90.00°, β = 90.00° and γ = 90.00°. The asymmetric unit holds Cr at (0.000, 0.000, 0.000), Mo at (0.000, 0.165, 0.500), Mo at (0.000, 0.337, 0.000) and Mo at (0.000, 0.500, 0.500).

The formation enthalpy at 0 K is 0.049 eV/atom. As for the total magnetic moment: 0.0187 μB/atom. The excess energy over the best structure of this formula in the dataset comes out at 0.000 kcal/mol of atoms. The raw total energy is -32.0864 eV per atom.